# AlCrSe2 PBE relaxed
# Energy relative to the elements, uncorrected in meV/atom: 182.0
# Energy above the lowest structure with this stoichiometry in kJ per mole of atoms: 54.6
data_AlCrSe2
_chemical_formula_sum 'Al4 Cr4 Se8'
_space_group_name_H-M_alt 'F m -3 m'
_space_group_IT_number 225
_space_group_name_Hall '-F 4 2 3'
_cell_length_a 6.326
_cell_length_b 6.326
_cell_length_c 6.326
_cell_angle_alpha 90.00
_cell_angle_beta 90.00
_cell_angle_gamma 90.00
loop_
_atom_site_label
_atom_site_type_symbol
_atom_site_fract_x
_atom_site_fract_y
_atom_site_fract_z
Al1 Al 0.000 0.000 0.000
Cr1 Cr 0.000 0.000 0.500
Se1 Se 0.250 0.250 0.250


# GdYCuSi PBE relaxed
# Energy relative to the elements, uncorrected in meV/atom: -435.7
data_GdYCuSi
_chemical_formula_sum 'Gd4 Y4 Cu4 Si4'
_space_group_name_H-M_alt 'F -4 3 m'
_space_group_IT_number 216
_space_group_name_Hall 'F -4 2 3'
_cell_length_a 7.020
_cell_length_b 7.020
_cell_length_c 7.020
_cell_angle_alpha 90.00
_cell_angle_beta 90.00
_cell_angle_gamma 90.00
loop_
_atom_site_label
_atom_site_type_symbol
_atom_site_fract_x
_atom_site_fract_y
_atom_site_fract_z
Gd1 Gd 0.000 0.000 0.000
Y1 Y 0.000 0.000 0.500
Cu1 Cu 0.250 0.250 0.750
Si1 Si 0.250 0.250 0.250


# Zr3CdC PBE relaxed
# Formation energy from the elements in eV/atom: -0.005
# Energy above the lowest structure with this stoichiometry in kJ per mole of atoms: 40.9
data_Zr3CdC
_chemical_formula_sum 'Zr12 Cd4 C4'
_space_group_name_H-M_alt 'I m m a'
_space_group_IT_number 74
_space_group_name_Hall '-I 2b 2'
_cell_length_a 4.944
_cell_length_b 13.037
_cell_length_c 6.682
_cell_angle_alpha 90.00
_cell_angle_beta 90.00
_cell_angle_gamma 90.00
loop_
_atom_site_label
_atom_site_type_symbol
_atom_site_fract_x
_atom_site_fract_y
_atom_site_fract_z
Zr1 Zr 0.000 0.123 0.110
Zr2 Zr 0.000 0.250 0.586
Cd1 Cd 0.000 0.000 0.500
C1 C 0.000 0.250 0.908